# Ce3Cd5Hg2

A relaxed structure of Ce3Cd5Hg2 (PBE, Alexandria).

Values from the calculation:
SG = No. 72
formation enthalpy at 0 K = -104 meV per atom
total moment = 7.4 Bohr magnetons per cell

Lattice parameters (Å, degrees): 6.290 9.776 9.776 87.90 71.24 71.24
Sites, in units of the cell vectors:
Hg (0.372, 0.970, 0.287)
Cd (0.627, 0.236, 0.510)
Hg (0.872, 0.287, 0.970)
Cd (0.002, 0.748, 0.748)
Hg (0.628, 0.030, 0.713)
Ce (0.750, 0.000, 0.000)
Cd (0.998, 0.252, 0.252)
Ce (0.624, 0.615, 0.137)
Cd (0.373, 0.764, 0.490)
Cd (0.502, 0.748, 0.748)
Ce (0.124, 0.137, 0.615)
Ce (0.876, 0.863, 0.385)
Cd (0.127, 0.510, 0.236)
Cd (0.498, 0.252, 0.252)
Cd (0.873, 0.490, 0.764)
Ce (0.250, 0.000, 0.000)
Cd (0.250, 0.500, 0.500)
Ce (0.376, 0.385, 0.863)
Hg (0.128, 0.713, 0.030)
Cd (0.750, 0.500, 0.500)

=====

# Rb3CuAs

A relaxed structure of Rb3CuAs (PBE, Alexandria).

Values from the calculation:
SG = No. 11
formation enthalpy at 0 K = -50 meV per atom
total moment = 0.8 Bohr magnetons per cell

Lattice parameters (Å, degrees): 5.548 8.602 10.904 90.00 90.00 109.80
Sites, in units of the cell vectors:
Rb (0.160, 0.830, 0.434)
As (0.236, 0.973, 0.750)
As (0.764, 0.027, 0.250)
Rb (0.593, 0.698, 0.750)
Rb (0.840, 0.170, 0.566)
Rb (0.160, 0.830, 0.066)
Rb (0.840, 0.170, 0.934)
Rb (0.407, 0.302, 0.250)
Cu (0.616, 0.747, 0.250)
Cu (0.384, 0.253, 0.750)